1.
This record from the Alexandria database describes a geometry-optimized Ca3SbCl structure. The functional is PBE-GGA.

a b c (Å): 5.256 5.256 5.256
angles (deg): 90.00 90.00 90.00
Space group Pm-3m (No. 221)
One atom of each set of equivalent atoms:
Ca 0.000 0.000 0.500 (multiplicity 3)
Sb 0.500 0.500 0.500 (multiplicity 1)
Cl 0.000 0.000 0.000 (multiplicity 1)

Calculated total energy in eV per atom: -3.14
Distance to the lowest polymorph of the same formula in eV/f.u.: 0.00
Crystal system: cubic
Formation energy from raw total energies in meV per atom: -748
Density of states at the Fermi level in states/eV/atom: 1.199
Total magnetic moment in μB per atom: 0.0005


2.
This record from the Alexandria database describes a geometry-optimized Ca4Sb2Cl structure. The functional is PBE-GGA.

a b c (Å): 5.113 5.113 16.610
angles (deg): 90.00 90.00 90.00
Space group I4/mmm (No. 139)
One atom of each set of equivalent atoms:
Ca 0.000 0.000 0.181 (multiplicity 4)
Ca 0.000 0.500 0.000 (multiplicity 4)
Sb 0.000 0.000 0.368 (multiplicity 4)
Cl 0.000 0.000 0.000 (multiplicity 2)

Calculated total energy in eV per atom: -3.62
Crystal system: tetragonal
Formation energy from raw total energies in meV per atom: -1039
Density of states at the Fermi level in states/eV/atom: 0.611
Total magnetic moment in μB per atom: 0.0000


3.
This record from the Alexandria database describes a geometry-optimized Ca2SbCl2 structure. The functional is PBE-GGA.

a b c (Å): 4.381 4.381 14.818
angles (deg): 90.00 90.00 90.00
Space group I4/mmm (No. 139)
One atom of each set of equivalent atoms:
Ca 0.000 0.000 0.135 (multiplicity 4)
Sb 0.000 0.000 0.500 (multiplicity 2)
Cl 0.000 0.500 0.250 (multiplicity 4)

Calculated total energy in eV per atom: -3.90
Distance to the lowest polymorph of the same formula in eV/f.u.: 0.00
Crystal system: tetragonal
Formation energy from raw total energies in meV per atom: -1532
Density of states at the Fermi level in states/eV/atom: 0.255
Total magnetic moment in μB per atom: 0.0000


4.
This record from the Alexandria database describes a geometry-optimized CaSbCl2 structure. The functional is PBE-GGA.

a b c (Å): 6.845 9.177 4.817
angles (deg): 90.00 133.02 90.00
Space group C2/m (No. 12)
One atom of each set of equivalent atoms:
Ca 0.000 0.000 0.000 (multiplicity 2)
Sb 0.000 0.500 0.000 (multiplicity 2)
Cl 0.250 0.250 0.500 (multiplicity 4)

Calculated total energy in eV per atom: -3.54
Distance to the lowest polymorph of the same formula in eV/f.u.: 1.10
Crystal system: monoclinic
Formation energy from raw total energies in meV per atom: -1082
Density of states at the Fermi level in states/eV/atom: 0.224
Total magnetic moment in μB per atom: 0.0000


5.
This record from the Alexandria database describes a geometry-optimized CaSbCl2 structure. The functional is PBE-GGA.

a b c (Å): 7.588 7.588 7.588
angles (deg): 90.00 90.00 90.00
Space group F-43m (No. 216)
One atom of each set of equivalent atoms:
Ca 0.000 0.000 0.000 (multiplicity 4)
Sb 0.250 0.250 0.750 (multiplicity 4)
Cl 0.000 0.000 0.500 (multiplicity 4)
Cl 0.250 0.250 0.250 (multiplicity 4)

Calculated total energy in eV per atom: -3.06
Distance to the lowest polymorph of the same formula in eV/f.u.: 3.00
Crystal system: cubic
Formation energy from raw total energies in meV per atom: -607
Density of states at the Fermi level in states/eV/atom: 0.691
Total magnetic moment in μB per atom: 0.7214


6.
This record from the Alexandria database describes a geometry-optimized Ca2Sb2Cl structure. The functional is PBE-GGA.

a b c (Å): 7.779 7.779 4.853
angles (deg): 90.00 90.00 90.00
Space group P4/mbm (No. 127)
One atom of each set of equivalent atoms:
Ca 0.175 0.325 0.000 (multiplicity 4)
Sb 0.128 0.628 0.500 (multiplicity 4)
Cl 0.000 0.000 0.000 (multiplicity 2)

Calculated total energy in eV per atom: -3.93
Crystal system: tetragonal
Formation energy from raw total energies in meV per atom: -1113
Density of states at the Fermi level in states/eV/atom: 0.407
Total magnetic moment in μB per atom: 0.0000